Record 1
RbLiErBr5, relaxed, DFT PBE; formation energy from raw total energies = -1.766 eV/atom; crystal system = monoclinic; D(E_F) = 0.000 states/eV/f.u.
1.0
-3.5722 -2.7752 6.5383
-4.0385 -2.8058 -6.2474
9.1417 -5.3433 -0.3206
Br Er Rb Li
10 2 2 2
direct
0.6986 0.0965 0.3979
0.9278 0.0722 0.7500
0.0965 0.6986 0.8979
0.7620 0.6315 0.4239
0.3685 0.2380 0.0761
0.2380 0.3685 0.5761
0.3014 0.9035 0.6021
0.9035 0.3014 0.1021
0.0722 0.9278 0.2500
0.6315 0.7620 0.9239
0.0000 0.0000 0.5000
0.0000 0.0000 0.0000
0.3438 0.6562 0.2500
0.6562 0.3438 0.7500
0.3077 0.6923 0.7500
0.6923 0.3077 0.2500

Record 2
LiErSnBr6, relaxed, DFT PBE; formation energy from raw total energies = -1.404 eV/atom; crystal system = trigonal; D(E_F) = 0.000 states/eV/f.u.
1.0
7.0802 0.0000 0.0000
-3.5401 6.1316 0.0000
0.0000 0.0000 13.1073
Br Li Sn Er
12 2 2 2
direct
0.0020 0.6482 0.3697
0.9980 0.3518 0.6303
0.6461 0.9980 0.3697
0.6482 0.6461 0.6303
0.0020 0.3539 0.1303
0.3518 0.9980 0.1303
0.3518 0.3539 0.3697
0.6461 0.6482 0.1303
0.3539 0.3518 0.8697
0.6482 0.0020 0.8697
0.3539 0.0020 0.6303
0.9980 0.6461 0.8697
0.6667 0.3333 0.7500
0.3333 0.6667 0.2500
0.0000 0.0000 0.0000
0.0000 0.0000 0.5000
0.6667 0.3333 0.2500
0.3333 0.6667 0.7500

Record 3
SrLiErBr6, relaxed, DFT PBE; formation energy from raw total energies = -1.864 eV/atom; crystal system = trigonal; D(E_F) = 0.000 states/eV/f.u.
1.0
-3.3863 0.9608 6.1906
-2.8953 -4.1126 -5.0415
6.2912 -10.6795 5.0988
Br Li Sr Er
12 2 2 2
direct
0.3572 0.0011 0.6325
0.6439 0.0011 0.8675
0.3572 0.3561 0.8675
0.6439 0.6428 0.6325
0.6428 0.9989 0.3675
0.9989 0.3561 0.6325
0.6428 0.6439 0.1325
0.0011 0.3572 0.1325
0.3561 0.3572 0.3675
0.9989 0.6428 0.8675
0.0011 0.6439 0.3675
0.3561 0.9989 0.1325
0.6667 0.3333 0.7500
0.3333 0.6667 0.2500
0.0000 0.0000 0.0000
0.0000 0.0000 0.5000
0.3333 0.6667 0.7500
0.6667 0.3333 0.2500

no.,energy (eV per formula unit)
1,-29.94
2,-33.15
3,-34.98